Entry 1:
Computed, not measured: a crystal of ZnTc relaxed with PBEsol at the SCAN level of DFT.

a = 6.015 Å, b = 6.015 Å, c = 6.015 Å
α = 90.00°, β = 90.00°, γ = 90.00°
Space group Fd-3m (No. 227, origin choice 2)
One atom of each set of equivalent atoms:
Zn  0.125  0.125  0.125 x8
Tc  0.125  0.125  0.625 x8

## Properties
Energy above the most stable polymorph in this dataset in eV per atom: 0.080
Crystal system: cubic
Calculated formation energy in eV per atom: 0.010

---

Entry 2:
Computed, not measured: a crystal of TlPt3Rh relaxed with PBEsol at the SCAN level of DFT.

a = 4.893 Å, b = 4.893 Å, c = 4.893 Å
α = 90.00°, β = 90.00°, γ = 90.00°
Space group Pm-3m (No. 221)
One atom of each set of equivalent atoms:
Tl  0.000  0.000  0.000 x1
Pt  0.000  0.000  0.500 x3
Rh  0.500  0.500  0.500 x1

## Properties
Crystal system: cubic
Calculated formation energy in eV per atom: 1.876

---

Entry 3:
Computed, not measured: a crystal of KRe2Te relaxed with PBEsol at the SCAN level of DFT.

a = 2.957 Å, b = 4.681 Å, c = 6.757 Å
α = 90.00°, β = 90.00°, γ = 90.00°
Space group Pmmm (No. 47)
One atom of each set of equivalent atoms:
K  0.000  0.000  0.000 x1
Re  0.500  0.500  0.336 x2
Te  0.000  0.000  0.500 x1

## Properties
Formation energy from raw total energies in eV/atom: 1.33
Crystal system: orthorhombic

---

Entry 4:
Computed, not measured: a crystal of KNaOs3 relaxed with PBEsol at the SCAN level of DFT.

a = 4.620 Å, b = 4.620 Å, c = 4.620 Å
α = 90.00°, β = 90.00°, γ = 90.00°
Space group Pm-3m (No. 221)
One atom of each set of equivalent atoms:
K  0.000  0.000  0.000 x1
Na  0.500  0.500  0.500 x1
Os  0.000  0.000  0.500 x3

## Properties
Crystal system: cubic
Calculated formation energy in eV per atom: 3.901

---

Entry 5:
Computed, not measured: a crystal of La3GaS5O relaxed with PBEsol at the SCAN level of DFT.

a = 10.671 Å, b = 4.001 Å, c = 19.752 Å
α = 90.00°, β = 90.00°, γ = 90.00°
Space group Pnma (No. 62)
One atom of each set of equivalent atoms:
La  0.020  0.250  0.103 x4
La  0.098  0.750  0.664 x4
La  0.148  0.250  0.491 x4
Ga  0.207  0.750  0.290 x4
S  0.085  0.250  0.789 x4
S  0.085  0.750  0.381 x4
S  0.129  0.250  0.966 x4
S  0.148  0.250  0.238 x4
S  0.221  0.750  0.117 x4
O  0.075  0.750  0.543 x4

## Properties
Formation energy from raw total energies in eV/atom: -2.35
Crystal system: orthorhombic

---

Entry 6:
Computed, not measured: a crystal of Li2RhPb relaxed with PBEsol at the SCAN level of DFT.

a = 3.833 Å, b = 3.833 Å, c = 19.296 Å
α = 90.00°, β = 90.00°, γ = 90.00°
Space group I-42d (No. 122)
One atom of each set of equivalent atoms:
Li  0.222  0.250  0.125 x8
Rh  0.000  0.000  0.000 x4
Pb  0.000  0.000  0.500 x4

## Properties
Crystal system: tetragonal
Calculated formation energy in eV per atom: -0.101

---

| no. | DOS at the Fermi energy (states/eV/cell) |
| --- | --- |
| 1 | 5.9 |
| 2 | 3.1 |
| 3 | 2.7 |
| 4 | 5.0 |
| 5 | 0.0 |
| 6 | 7.7 |